Compound: ZrTiBe2
Source: the Alexandria database
Functional: meta-GGA SCAN
Structure: single point on PBEsol structure

Cell and atoms, written as POSCAR:
```
ZrTiBe2
1.0
0.0000 3.0231 3.0231
3.0231 0.0000 3.0231
3.0231 3.0231 0.0000
Zr Ti Be
1 1 2
Direct
0.0000 0.0000 0.0000
0.5000 0.5000 0.5000
0.2500 0.2500 0.2500
0.7500 0.7500 0.7500
```

Results
As for the space group: Fm-3m. The formation energy is -0.119 eV per atom.